{
  "formula": "NdZr2F11",
  "functional": "SCAN",
  "state": "single point on PBEsol structure",
  "lattice": [[-0.6995, -4.7943, -6.0665], [5.5563, 0.7308, -6.1863], [4.5026, -7.0285, 0.0673]],
  "species": ["F", "F", "F", "F", "F", "F", "F", "F", "F", "F", "F", "F", "F", "F", "F", "F", "F", "F", "F", "F", "F", "F", "Zr", "Zr", "Zr", "Zr", "Nd", "Nd"],
  "frac_coords": [[0.8707, 0.2183, 0.7817], [0.6293, 0.7183, 0.2817], [0.1358, 0.2071, 0.0534], [0.0349, 0.5462, 0.1793], [0.1293, 0.7817, 0.2183], [0.3707, 0.2817, 0.7183], [0.7604, 0.8207, 0.4538], [0.7396, 0.0462, 0.6793], [0.6036, 0.0534, 0.2071], [0.8642, 0.7929, 0.9466], [0.4651, 0.3207, 0.9538], [0.1036, 0.7071, 0.5534], [0.3642, 0.4466, 0.2929], [0.5349, 0.6793, 0.0462], [0.3964, 0.9466, 0.7929], [0.9651, 0.4538, 0.8207], [0.8964, 0.2929, 0.4466], [0.6358, 0.5534, 0.7071], [0.2396, 0.1793, 0.5462], [0.2604, 0.9538, 0.3207], [0.5000, 0.5000, 0.5000], [0.0000, 0.0000, 0.0000], [0.3658, 0.6813, 0.3187], [0.1342, 0.1813, 0.8187], [0.6342, 0.3187, 0.6813], [0.8658, 0.8187, 0.1813], [0.7500, 0.7500, 0.7500], [0.2500, 0.2500, 0.2500]],
  "e_form_raw_ev_per_atom": -4.111,
  "rho_kg_m3": 4210,
  "volume_a3_per_cell": 422.60
}


{
  "formula": "NiF3",
  "functional": "SCAN",
  "state": "single point on PBEsol structure",
  "lattice": [[-1.4821, -1.3891, -4.2848], [-0.1160, -4.6139, -1.0880], [-4.5553, -2.2467, -0.3198]],
  "species": ["F", "F", "F", "F", "F", "F", "Ni", "Ni"],
  "frac_coords": [[0.3882, 0.7500, 0.7500], [0.8882, 0.6118, 0.2500], [0.2500, 0.8882, 0.2500], [0.1118, 0.3882, 0.7500], [0.6118, 0.2500, 0.2500], [0.7500, 0.1118, 0.7500], [0.0000, 0.0000, 0.0000], [0.5000, 0.5000, 0.5000]],
  "e_form_raw_ev_per_atom": -1.963,
  "rho_kg_m3": 4599,
  "volume_a3_per_cell": 83.54
}


{
  "formula": "Ni6OF11",
  "functional": "SCAN",
  "state": "single point on PBEsol structure",
  "lattice": [[5.5103, -0.0026, -0.0196], [1.6352, 5.2620, -0.0196], [2.0957, 1.5425, 6.6302]],
  "species": ["Ni", "Ni", "Ni", "Ni", "Ni", "Ni", "F", "F", "F", "F", "F", "F", "F", "F", "F", "F", "F", "O"],
  "frac_coords": [[0.0038, 0.0038, 0.0028], [0.9979, 0.9979, 0.4992], [0.6671, 0.6671, 0.8339], [0.6530, 0.6530, 0.3304], [0.3404, 0.3404, 0.1790], [0.3362, 0.3362, 0.6509], [0.6984, 0.3035, 0.9995], [0.5668, 0.5668, 0.6312], [0.3035, 0.6984, 0.9995], [0.8915, 0.8915, 0.3000], [0.6383, 0.0313, 0.6700], [0.0313, 0.6383, 0.6700], [0.3600, 0.9690, 0.3312], [0.7694, 0.7694, 0.0348], [0.9690, 0.3600, 0.3312], [0.1015, 0.1015, 0.7019], [0.2382, 0.2382, 0.9630], [0.4339, 0.4339, 0.3713]],
  "e_form_raw_ev_per_atom": -2.170,
  "polymorph_energy_mev_per_atom": 1.2,
  "rho_kg_m3": 4976,
  "volume_a3_per_cell": 192.61
}


{
  "formula": "Ni6OF11",
  "functional": "SCAN",
  "state": "single point on PBEsol structure",
  "lattice": [[-0.1609, -4.3766, -1.3676], [5.4517, -0.0216, -0.7990], [1.4778, -2.3499, 7.1121]],
  "species": ["Ni", "Ni", "Ni", "Ni", "Ni", "Ni", "F", "F", "F", "F", "F", "F", "F", "F", "F", "F", "F", "O"],
  "frac_coords": [[0.5202, 0.4862, 0.9936], [0.4970, 0.1686, 0.3354], [0.9835, 0.3358, 0.6803], [0.0051, 0.6648, 0.3298], [0.5000, 0.8332, 0.6655], [0.9874, 0.0147, 0.9975], [0.1909, 0.3676, 0.4407], [0.3021, 0.2033, 0.1033], [0.1997, 0.0357, 0.7676], [0.1996, 0.7031, 0.0950], [0.3041, 0.8680, 0.4333], [0.3066, 0.5342, 0.7663], [0.8036, 0.6319, 0.5643], [0.7009, 0.1280, 0.5640], [0.6904, 0.4690, 0.2344], [0.6992, 0.7955, 0.8973], [0.8039, 0.9660, 0.2324], [0.8058, 0.2942, 0.8993]],
  "e_form_raw_ev_per_atom": -2.169,
  "polymorph_energy_mev_per_atom": 2.1,
  "rho_kg_m3": 4974,
  "volume_a3_per_cell": 192.66
}


{
  "formula": "Ni6OF11",
  "functional": "SCAN",
  "state": "single point on PBEsol structure",
  "lattice": [[5.5092, 0.0272, -0.0078], [1.7273, 5.2315, -0.0078], [2.1900, 1.5915, 6.6902]],
  "species": ["F", "F", "F", "F", "F", "F", "F", "F", "F", "F", "F", "Ni", "Ni", "Ni", "Ni", "Ni", "Ni", "O"],
  "frac_coords": [[0.0299, 0.6326, 0.6668], [0.2908, 0.7092, 0.0000], [0.4357, 0.4350, 0.3696], [0.5650, 0.5643, 0.6304], [0.7647, 0.7704, 0.0363], [0.3674, 0.9701, 0.3332], [0.1022, 0.0987, 0.7019], [0.9800, 0.3611, 0.3296], [0.6389, 0.0200, 0.6704], [0.9013, 0.8978, 0.2981], [0.2296, 0.2353, 0.9637], [0.6681, 0.6475, 0.8415], [0.3363, 0.3285, 0.6669], [0.3525, 0.3319, 0.1585], [0.0012, 0.9988, 0.5000], [0.6715, 0.6637, 0.3331], [0.9752, 0.0248, 0.0000], [0.6896, 0.3104, 0.0000]],
  "e_form_raw_ev_per_atom": -2.171,
  "polymorph_energy_mev_per_atom": 0.0,
  "rho_kg_m3": 4975,
  "volume_a3_per_cell": 192.65
}


{
  "formula": "Ni6OF11",
  "functional": "SCAN",
  "state": "single point on PBEsol structure",
  "lattice": [[-0.9256, 2.2421, -1.8258], [-3.9615, -2.2709, -0.7804], [-5.5189, 6.4264, 10.6897]],
  "species": ["Ni", "Ni", "Ni", "Ni", "Ni", "Ni", "F", "F", "F", "F", "F", "F", "F", "F", "F", "F", "F", "O"],
  "frac_coords": [[0.0000, 0.0045, 0.6672], [0.0000, 0.9875, 0.3306], [0.5000, 0.5126, 0.8359], [0.5000, 0.4958, 0.4989], [0.0000, 0.0282, 0.0091], [0.5000, 0.4758, 0.1604], [0.5000, 0.1685, 0.4033], [0.0000, 0.6830, 0.0976], [0.0000, 0.3186, 0.5703], [0.0000, 0.3130, 0.2387], [0.5000, 0.1919, 0.7372], [0.0000, 0.3209, 0.9019], [0.5000, 0.8295, 0.9332], [0.5000, 0.8197, 0.5954], [0.0000, 0.6718, 0.4269], [0.5000, 0.8020, 0.2599], [0.0000, 0.6914, 0.7641], [0.5000, 0.1854, 0.0692]],
  "e_form_raw_ev_per_atom": -2.165,
  "polymorph_energy_mev_per_atom": 6.4,
  "rho_kg_m3": 4997,
  "volume_a3_per_cell": 191.79
}


{
  "formula": "Ni6OF11",
  "functional": "SCAN",
  "state": "single point on PBEsol structure",
  "lattice": [[-4.4123, 0.0527, -1.2549], [-0.4526, -4.2445, 1.6809], [-2.2794, 3.4749, 8.1608]],
  "species": ["Ni", "Ni", "Ni", "Ni", "Ni", "Ni", "O", "F", "F", "F", "F", "F", "F", "F", "F", "F", "F", "F"],
  "frac_coords": [[0.0023, 0.0023, 0.5000], [0.0103, 0.0103, 0.1581], [0.5047, 0.5047, 0.3336], [0.5047, 0.5047, 0.6664], [0.0103, 0.0103, 0.8419], [0.4744, 0.4744, 0.0000], [0.1888, 0.1888, 0.0000], [0.6922, 0.2996, 0.1672], [0.1994, 0.1994, 0.6677], [0.3095, 0.7026, 0.5000], [0.6922, 0.2996, 0.8328], [0.7026, 0.3095, 0.5000], [0.2996, 0.6922, 0.8328], [0.1994, 0.1994, 0.3323], [0.2996, 0.6922, 0.1672], [0.8100, 0.8100, 0.3299], [0.7900, 0.7900, 0.0000], [0.8100, 0.8100, 0.6701]],
  "e_form_raw_ev_per_atom": -2.171,
  "polymorph_energy_mev_per_atom": 0.2,
  "rho_kg_m3": 4973,
  "volume_a3_per_cell": 192.71
}


{
  "formula": "NiPbO2F",
  "functional": "SCAN",
  "state": "single point on PBEsol structure",
  "lattice": [[-1.9635, 2.9642, 1.4210], [-3.0174, -2.2819, 0.5908], [1.3255, -0.8301, 3.5631]],
  "species": ["O", "O", "Pb", "Ni", "F"],
  "frac_coords": [[0.0000, 0.5000, 0.0000], [0.5000, 0.0000, 0.0000], [0.5000, 0.5000, 0.5000], [0.0000, 0.0000, 0.0000], [0.0000, 0.0000, 0.5000]],
  "e_form_raw_ev_per_atom": -1.352,
  "rho_kg_m3": 9224,
  "volume_a3_per_cell": 57.05
}